Record 1
# SrHPt3, relaxed, DFT PBE
data_SrHPt3
_chemical_formula_sum 'Sr1 H1 Pt3'
_cell_length_a 5.360
_cell_length_b 5.360
_cell_length_c 5.360
_cell_angle_alpha 90.00
_cell_angle_beta 90.00
_cell_angle_gamma 90.00
_symmetry_space_group_name_H-M 'P m -3 m'
_symmetry_Int_Tables_number 221
_symmetry_space_group_name_Hall '-P 4 2 3'
loop_
_atom_site_label
_atom_site_type_symbol
_atom_site_fract_x
_atom_site_fract_y
_atom_site_fract_z
_atom_site_occupancy
Sr1 Sr 0.000 0.000 0.000 1
H1 H 0.500 0.500 0.500 1
Pt1 Pt 0.000 0.000 0.500 1
# distance to the lowest polymorph of the same formula	2293	meV per atom

---

Record 2
# Tl2TcBrCl5, relaxed, DFT PBE
data_Tl2TcBrCl5
_chemical_formula_sum 'Tl4 Tc2 Br2 Cl10'
_cell_length_a 7.141
_cell_length_b 7.141
_cell_length_c 10.231
_cell_angle_alpha 90.00
_cell_angle_beta 90.00
_cell_angle_gamma 90.00
_symmetry_space_group_name_H-M 'I 4 m m'
_symmetry_Int_Tables_number 107
_symmetry_space_group_name_Hall 'I 4 -2'
loop_
_atom_site_label
_atom_site_type_symbol
_atom_site_fract_x
_atom_site_fract_y
_atom_site_fract_z
_atom_site_occupancy
Tl1 Tl 0.000 0.500 0.000 1
Tc1 Tc 0.000 0.000 0.249 1
Br1 Br 0.000 0.000 0.497 1
Cl1 Cl 0.000 0.000 0.016 1
Cl2 Cl 0.235 0.235 0.250 1
# ΔE_f (raw)	-82.8	kJ per mole of atoms

---

Record 3
# Nd3Sm2Mg, relaxed, DFT PBE
data_Nd3Sm2Mg
_chemical_formula_sum 'Nd6 Sm4 Mg2'
_cell_length_a 3.403
_cell_length_b 6.284
_cell_length_c 19.249
_cell_angle_alpha 90.00
_cell_angle_beta 90.00
_cell_angle_gamma 90.00
_symmetry_space_group_name_H-M 'I m m m'
_symmetry_Int_Tables_number 71
_symmetry_space_group_name_Hall '-I 2 2'
loop_
_atom_site_label
_atom_site_type_symbol
_atom_site_fract_x
_atom_site_fract_y
_atom_site_fract_z
_atom_site_occupancy
Nd1 Nd 0.000 0.000 0.000 1
Nd2 Nd 0.000 0.500 0.168 1
Sm1 Sm 0.000 0.500 0.344 1
Mg1 Mg 0.000 0.500 0.000 1
# DFT formation energy	338	meV/atom
# distance to the lowest polymorph of the same formula	331	meV per atom

---

Record 4
# Pr6RuRh2Cl3, relaxed, DFT PBE
data_Pr6RuRh2Cl3
_chemical_formula_sum 'Pr12 Ru2 Rh4 Cl6'
_cell_length_a 19.388
_cell_length_b 4.090
_cell_length_c 9.021
_cell_angle_alpha 90.00
_cell_angle_beta 110.86
_cell_angle_gamma 90.00
_symmetry_space_group_name_H-M 'C 1 2/m 1'
_symmetry_Int_Tables_number 12
loop_
_symmetry_equiv_pos_as_xyz
'x,y,z'
'-x,-y,-z'
'-x,y,-z'
'x,-y,z'
'x+1/2,y+1/2,z'
'-x+1/2,-y+1/2,-z'
'-x+1/2,y+1/2,-z'
'x+1/2,-y+1/2,z'
loop_
_atom_site_label
_atom_site_type_symbol
_atom_site_fract_x
_atom_site_fract_y
_atom_site_fract_z
_atom_site_occupancy
Pr1 Pr 0.008 0.000 0.223 1
Pr2 Pr 0.154 0.500 0.102 1
Pr3 Pr 0.176 0.500 0.558 1
Ru1 Ru 0.000 0.500 0.000 1
Rh1 Rh 0.167 0.000 0.334 1
Cl1 Cl 0.000 0.500 0.500 1
Cl2 Cl 0.165 0.000 0.831 1
# ΔE_f (raw)	-103.4	kJ per mole of atoms

---

Record 5
# KInAs, relaxed, DFT PBE
data_KInAs
_chemical_formula_sum 'K1 In1 As1'
_cell_length_a 4.4457
_cell_length_b 4.4457
_cell_length_c 5.7969
_cell_angle_alpha 90.00
_cell_angle_beta 90.00
_cell_angle_gamma 120.00
_symmetry_space_group_name_H-M 'P 3 m 1'
_symmetry_Int_Tables_number 156
loop_
_symmetry_equiv_pos_as_xyz
'x,y,z'
'-y,x-y,z'
'-x+y,-x,z'
'-y,-x,z'
'-x+y,y,z'
'x,x-y,z'
loop_
_atom_site_label
_atom_site_type_symbol
_atom_site_fract_x
_atom_site_fract_y
_atom_site_fract_z
_atom_site_occupancy
K1 K 0.0000 0.0000 0.0000 1
In1 In 0.3333 0.6667 0.5522 1
As1 As 0.6667 0.3333 0.3885 1
# DFT formation energy	-260	meV/atom

---

Record 6
# FeSnTe2I, relaxed, DFT PBE
data_FeSnTe2I
_chemical_formula_sum 'Fe1 Sn1 Te2 I1'
_cell_length_a 5.130
_cell_length_b 5.130
_cell_length_c 5.584
_cell_angle_alpha 90.00
_cell_angle_beta 90.00
_cell_angle_gamma 90.00
_symmetry_space_group_name_H-M 'P 4/m m m'
_symmetry_Int_Tables_number 123
_symmetry_space_group_name_Hall '-P 4 2'
loop_
_atom_site_label
_atom_site_type_symbol
_atom_site_fract_x
_atom_site_fract_y
_atom_site_fract_z
_atom_site_occupancy
Fe1 Fe 0.000 0.000 0.000 1
Sn1 Sn 0.500 0.500 0.500 1
Te1 Te 0.000 0.500 0.000 1
I1 I 0.000 0.000 0.500 1
# distance to the lowest polymorph of the same formula	0	meV per atom
# ΔE_f (raw)	24.3	kJ per mole of atoms

---

Record 7
# KWCl2, relaxed, DFT PBE
data_KWCl2
_chemical_formula_sum 'K1 W1 Cl2'
_cell_length_a 5.084
_cell_length_b 5.084
_cell_length_c 3.326
_cell_angle_alpha 90.00
_cell_angle_beta 90.00
_cell_angle_gamma 90.00
_symmetry_space_group_name_H-M 'P 4/m m m'
_symmetry_Int_Tables_number 123
_symmetry_space_group_name_Hall '-P 4 2'
loop_
_atom_site_label
_atom_site_type_symbol
_atom_site_fract_x
_atom_site_fract_y
_atom_site_fract_z
_atom_site_occupancy
K1 K 0.000 0.000 0.000 1
W1 W 0.500 0.500 0.500 1
Cl1 Cl 0.000 0.500 0.500 1
# distance to the lowest polymorph of the same formula	104	meV per atom
# ΔE_f (raw)	-3.9	kJ per mole of atoms

---

Record 8
# KSr2Co, relaxed, DFT PBE
data_KSr2Co
_chemical_formula_sum 'K1 Sr2 Co1'
_cell_length_a 4.252
_cell_length_b 4.252
_cell_length_c 9.835
_cell_angle_alpha 90.00
_cell_angle_beta 90.00
_cell_angle_gamma 90.00
_symmetry_space_group_name_H-M 'P 4 m m'
_symmetry_Int_Tables_number 99
loop_
_symmetry_equiv_pos_as_xyz
'x,y,z'
'-y,x,z'
'-x,-y,z'
'y,-x,z'
'-x,y,z'
'y,x,z'
'x,-y,z'
'-y,-x,z'
loop_
_atom_site_label
_atom_site_type_symbol
_atom_site_fract_x
_atom_site_fract_y
_atom_site_fract_z
_atom_site_occupancy
K1 K 0.000 0.000 0.000 1
Sr1 Sr 0.000 0.000 0.627 1
Sr2 Sr 0.500 0.500 0.358 1
Co1 Co 0.500 0.500 0.682 1
# DFT formation energy	513	meV/atom
# distance to the lowest polymorph of the same formula	159	meV per atom

---

Number 1: E_tot -13.094 eV per formula unit. Number 2: E_tot -33.730 eV per formula unit. Number 3: E_tot -23.311 eV per formula unit. Number 4: E_tot -71.061 eV per formula unit. Number 5: E_tot -9.266 eV per formula unit. Number 6: E_tot -19.042 eV per formula unit. Number 7: E_tot -17.906 eV per formula unit. Number 8: E_tot -9.515 eV per formula unit.